A relaxed structure of RbCuPb2, computed with PBE-GGA.

Output
DFT total energy = -2.902 eV/atom
ΔE_f = 0.218 eV per atom
Magnetic moment = 0.000 μB/atom
Space group = I4_1/amd

The structure in CIF format:
```
data_RbCuPb2
_chemical_formula_sum 'Rb2 Cu2 Pb4'
_space_group_name_H-M_alt 'P 1'
_space_group_IT_number 1
_space_group_name_Hall 'P 1'
_cell_length_a 6.1321
_cell_length_b 6.1321
_cell_length_c 9.8365
_cell_angle_alpha 71.84
_cell_angle_beta 71.84
_cell_angle_gamma 90.00
loop_
_atom_site_label
_atom_site_type_symbol
_atom_site_fract_x
_atom_site_fract_y
_atom_site_fract_z
Pb1 Pb 0.8750 0.6249 0.7500
Pb2 Pb 0.3751 0.6250 0.2500
Pb3 Pb 0.3750 0.6251 0.7500
Pb4 Pb 0.3749 0.1250 0.2500
Rb1 Rb 0.0000 0.0000 0.0000
Rb2 Rb 0.7500 0.2500 0.5000
Cu1 Cu 0.5000 0.5000 0.0000
Cu2 Cu 0.2500 0.7500 0.5000
```